# CaTbNdY, relaxed, DFT PBE-GGA
data_CaTbNdY
_cell_length_a 3.654
_cell_length_b 3.654
_cell_length_c 10.494
_cell_angle_alpha 90.00
_cell_angle_beta 90.00
_cell_angle_gamma 90.00
_space_group_name_H-M_alt 'P 1'
_space_group_IT_number 1
_space_group_name_Hall 'P 1'
loop_
_atom_site_label
_atom_site_fract_x
_atom_site_fract_y
_atom_site_fract_z
Nd1 0.646 0.354 0.454
Ca1 0.146 0.854 0.726
Tb1 0.146 0.854 0.219
Y1 0.646 0.354 0.990
# offset from the most stable computed form	0.0	meV per atom


This record from Alexandria via LeMat-Bulk describes CaTbNdZn after structural relaxation. The functional is PBE-GGA.

Structure (CIF):
```
data_CaTbNdZn
_cell_length_a 3.598
_cell_length_b 3.598
_cell_length_c 9.259
_cell_angle_alpha 90.00
_cell_angle_beta 90.00
_cell_angle_gamma 90.00
_space_group_name_H-M_alt 'P 1'
_space_group_IT_number 1
_space_group_name_Hall 'P 1'
loop_
_atom_site_label
_atom_site_fract_x
_atom_site_fract_y
_atom_site_fract_z
Ca1 0.000 0.000 0.126
Tb1 0.000 0.000 0.523
Zn1 0.500 0.500 0.336
Nd1 0.500 0.500 0.800
```


# CaNd2Tc, relaxed, DFT PBE-GGA
data_CaNd2Tc
_cell_length_a 3.625
_cell_length_b 3.625
_cell_length_c 11.455
_cell_angle_alpha 80.90
_cell_angle_beta 80.90
_cell_angle_gamma 60.00
_space_group_name_H-M_alt 'P 1'
_space_group_IT_number 1
_space_group_name_Hall 'P 1'
loop_
_atom_site_label
_atom_site_fract_x
_atom_site_fract_y
_atom_site_fract_z
Nd1 0.107 0.107 0.679
Nd2 0.893 0.893 0.321
Tc1 0.500 0.500 0.500
Ca1 0.000 0.000 0.000
# offset from the most stable computed form	249.4	meV per atom


# CaNd2Tc, relaxed, DFT PBE-GGA
data_CaNd2Tc
_cell_length_a 3.577
_cell_length_b 3.577
_cell_length_c 9.561
_cell_angle_alpha 90.00
_cell_angle_beta 90.00
_cell_angle_gamma 90.00
_space_group_name_H-M_alt 'P 1'
_space_group_IT_number 1
_space_group_name_Hall 'P 1'
loop_
_atom_site_label
_atom_site_fract_x
_atom_site_fract_y
_atom_site_fract_z
Ca1 0.500 0.500 0.500
Tc1 0.500 0.500 0.000
Nd1 0.000 0.000 0.824
Nd2 0.000 0.000 0.176
# offset from the most stable computed form	0.0	meV per atom


This record from Alexandria via LeMat-Bulk describes CaNd4Tc after structural relaxation. The functional is PBE-GGA.

Structure (CIF):
```
data_CaNd4Tc
_cell_length_a 6.176
_cell_length_b 7.022
_cell_length_c 9.497
_cell_angle_alpha 90.00
_cell_angle_beta 102.78
_cell_angle_gamma 90.00
_space_group_name_H-M_alt 'P 1'
_space_group_IT_number 1
_space_group_name_Hall 'P 1'
loop_
_atom_site_label
_atom_site_fract_x
_atom_site_fract_y
_atom_site_fract_z
Nd1 0.366 0.750 0.938
Nd2 0.156 0.007 0.201
Nd3 0.716 0.750 0.327
Nd4 0.634 0.250 0.062
Nd5 0.844 0.507 0.799
Nd6 0.284 0.250 0.673
Nd7 0.844 0.993 0.799
Nd8 0.156 0.493 0.201
Ca1 0.285 0.750 0.553
Ca2 0.715 0.250 0.447
Tc1 0.181 0.250 0.945
Tc2 0.819 0.750 0.055
```


This record from Alexandria via LeMat-Bulk describes CaNdTc4 after structural relaxation. The functional is PBE-GGA.

Structure (CIF):
```
data_CaNdTc4
_cell_length_a 5.452
_cell_length_b 5.452
_cell_length_c 5.452
_cell_angle_alpha 60.00
_cell_angle_beta 60.00
_cell_angle_gamma 60.00
_space_group_name_H-M_alt 'P 1'
_space_group_IT_number 1
_space_group_name_Hall 'P 1'
loop_
_atom_site_label
_atom_site_fract_x
_atom_site_fract_y
_atom_site_fract_z
Tc1 0.125 0.625 0.625
Tc2 0.625 0.625 0.125
Tc3 0.625 0.625 0.625
Tc4 0.625 0.125 0.625
Nd1 0.000 0.000 0.000
Ca1 0.250 0.250 0.250
```


| no. | calculated formation energy (eV per atom) | electronic total energy (eV per cell) |
| --- | --- | --- |
| 1 | 0.056 | -17.641 |
| 2 | -0.126 | -13.180 |
| 3 | 0.348 | -20.511 |
| 4 | 0.099 | -21.508 |
| 5 | 0.091 | -61.786 |
| 6 | 0.141 | -47.386 |